Record 1
Material: ScBBr
Method: DFT, PBE-GGA
State: relaxed

Calculated values
Raw formation energy ... -92 kJ/mol of atoms

a b c (Å): 3.659 21.186 3.276
angles (deg): 90.00 90.00 90.00
Space group Cmcm (No. 63)
One atom of each set of equivalent atoms:
1 Sc 0.000 0.066 0.250
2 B 0.000 0.489 0.250
3 Br 0.000 0.162 0.750

Record 2
Material: KNaInHg2
Method: DFT, PBE-GGA
State: relaxed

Calculated values
Energy of formation ... -34 kJ/mol of formula units
Energy above the lowest structure with this stoichiometry ... 119 meV per atom

a b c (Å): 5.699 5.699 5.912
angles (deg): 90.00 90.00 90.00
Space group P4/mmm (No. 123)
One atom of each set of equivalent atoms:
1 K 0.000 0.000 0.000
2 Na 0.500 0.500 0.000
3 In 0.500 0.500 0.500
4 Hg 0.000 0.500 0.500

Copy entry 1 word for word.
Material: ScBBr
Method: DFT, PBE-GGA
State: relaxed

Calculated values
Raw formation energy ... -92 kJ/mol of atoms

a b c (Å): 3.659 21.186 3.276
angles (deg): 90.00 90.00 90.00
Space group Cmcm (No. 63)
One atom of each set of equivalent atoms:
1 Sc 0.000 0.066 0.250
2 B 0.000 0.489 0.250
3 Br 0.000 0.162 0.750